Record 1
First-principles (PBE-GGA) data for an optimized crystal structure of Tl3GaRe, as listed in Alexandria via LeMat-Bulk.

Cell lengths 5.3502, 5.3502, 5.3502 Å; angles 90.00, 90.00, 90.00 degrees
With the nearest neighbours (Å) after each atom.
Atoms (fractional coordinates):
Re  0.5000  0.5000  0.5000  12 Tl 3.78
Tl  0.0000  0.5000  0.0000  2 Ga 2.68
Tl  0.0000  0.0000  0.5000  2 Ga 2.68
Tl  0.5000  0.0000  0.0000  2 Ga 2.68
Ga  0.0000  0.0000  0.0000  6 Tl 2.68

D(E_F) (states/eV per cell): 2.7
Energy (eV per atom): -3.10
Energy of formation from the pure elements (eV per formula unit): 7.06
Energy above the most stable polymorph in this dataset (eV per formula unit): 3.66
Crystal system: cubic

Record 2
First-principles (PBE-GGA) data for an optimized crystal structure of La2Ho2Pd15, as listed in Alexandria via LeMat-Bulk.

Cell lengths 7.1482, 7.1482, 7.1482 Å; angles 80.88, 80.88, 80.88 degrees
With the nearest neighbours (Å) after each atom.
Atoms (fractional coordinates):
La  0.3589  0.3589  0.3589  12 Pd 3.20-3.44, 1 Ho 3.57
La  0.6411  0.6411  0.6411  12 Pd 3.20-3.44, 1 Ho 3.57
Ho  0.1079  0.1079  0.1079  6 Pd 2.80-2.90, 1 Ho 3.07
Ho  0.8921  0.8921  0.8921  6 Pd 2.80-2.90, 1 Ho 3.07
Pd  0.5000  0.0000  0.0000  8 Pd 2.70-2.77, 2 Ho 2.80
Pd  0.0000  0.0000  0.5000  8 Pd 2.70-2.77, 2 Ho 2.80
Pd  0.0000  0.5000  0.0000  8 Pd 2.70-2.77, 2 Ho 2.80
Pd  0.0000  0.6962  0.3038  8 Pd 2.77-2.94
Pd  0.6962  0.3038  0.0000  8 Pd 2.77-2.94
Pd  0.3038  0.0000  0.6962  8 Pd 2.77-2.94
Pd  0.3038  0.6962  0.0000  8 Pd 2.77-2.94
Pd  0.6962  0.0000  0.3038  8 Pd 2.77-2.94
Pd  0.0000  0.3038  0.6962  8 Pd 2.77-2.94
Pd  0.1570  0.6505  0.6505  8 Pd 2.67-2.94, 1 Ho 2.90
Pd  0.6505  0.6505  0.1570  8 Pd 2.67-2.94, 1 Ho 2.90
Pd  0.6505  0.1570  0.6505  8 Pd 2.67-2.94, 1 Ho 2.90
Pd  0.8430  0.3495  0.3495  8 Pd 2.67-2.94, 1 Ho 2.90
Pd  0.3495  0.3495  0.8430  8 Pd 2.67-2.94, 1 Ho 2.90
Pd  0.3495  0.8430  0.3495  8 Pd 2.67-2.94, 1 Ho 2.90

D(E_F) (states/eV per cell): 14.8
Energy (eV per atom): -5.71
Energy of formation from the pure elements (eV per formula unit): -11.55
Crystal system: trigonal

Record 3
First-principles (PBE-GGA) data for an optimized crystal structure of KPr2RuO8, as listed in Alexandria via LeMat-Bulk.

Cell lengths 5.3166, 4.2935, 7.4011 Å; angles 74.32, 90.06, 89.98 degrees
With the nearest neighbours (Å) after each atom.
Atoms (fractional coordinates):
K  0.0000  0.0000  0.5000  10 O 2.75-2.99
Pr  0.5073  0.3753  0.7898  8 O 2.45-2.74
Pr  0.4927  0.6247  0.2102  8 O 2.45-2.74
Ru  0.0000  0.0000  0.0000  6 O 1.86-1.98
O  0.0121  0.6537  0.2249  1 Ru 1.91
O  0.7006  0.8181  0.9046  1 Ru 1.98
O  0.7714  0.2073  0.1194  1 Ru 1.86
O  0.9879  0.3463  0.7751  1 Ru 1.91
O  0.2994  0.1819  0.0954  1 Ru 1.98
O  0.2286  0.7927  0.8806  1 Ru 1.86
O  0.5020  0.8296  0.4969  1 O 1.48
O  0.4980  0.1704  0.5031  1 O 1.48

E_form (uncorrected) (eV/atom): -1.8285
D(E_F) (states/eV per cell): 3.9
Energy (eV per atom): -6.80
Crystal system: triclinic

Record 4
First-principles (PBE-GGA) data for an optimized crystal structure of RbGa2Ag2, as listed in Alexandria via LeMat-Bulk.

Cell lengths 8.7091, 8.7091, 2.9855 Å; angles 90.00, 90.00, 90.00 degrees
With the nearest neighbours (Å) after each atom.
Atoms (fractional coordinates):
Ga  0.3753  0.8753  0.0000  6 Ag 2.91-3.05, 3 Ga 2.99-3.07
Ga  0.8753  0.6247  0.0000  6 Ag 2.91-3.05, 3 Ga 2.99-3.07
Ga  0.6247  0.1247  0.0000  6 Ag 2.91-3.05, 3 Ga 2.99-3.07
Ga  0.1247  0.3753  0.0000  6 Ag 2.91-3.05, 3 Ga 2.99-3.07
Rb  0.0000  0.0000  0.0000  2 Rb 2.99
Rb  0.5000  0.5000  0.0000  2 Rb 2.99
Ag  0.1598  0.6598  0.5000  6 Ga 2.91-3.05, 2 Ag 2.99
Ag  0.6598  0.8402  0.5000  6 Ga 2.91-3.05, 2 Ag 2.99
Ag  0.8402  0.3402  0.5000  6 Ga 2.91-3.05, 2 Ag 2.99
Ag  0.3402  0.1598  0.5000  6 Ga 2.91-3.05, 2 Ag 2.99

D(E_F) (states/eV per cell): 4.5
Energy (eV per atom): -2.46
Energy of formation from the pure elements (eV per formula unit): 0.41
Energy above the most stable polymorph in this dataset (eV per formula unit): 0.47
Crystal system: tetragonal

Record 5
First-principles (PBE-GGA) data for an optimized crystal structure of Sm2Al3Zn5, as listed in Alexandria via LeMat-Bulk.

Cell lengths 4.2465, 4.2465, 10.6598 Å; angles 90.00, 90.00, 90.00 degrees
With the nearest neighbours (Å) after each atom.
Atoms (fractional coordinates):
Sm  0.5000  0.0000  0.2473  6 Al 3.22-3.43, 10 Zn 3.27-3.43
Sm  0.0000  0.5000  0.7527  6 Al 3.22-3.43, 10 Zn 3.27-3.43
Al  0.5000  0.0000  0.6443  3 Zn 2.44-2.62, 2 Al 2.62
Al  0.0000  0.5000  0.3557  3 Zn 2.44-2.62, 2 Al 2.62
Al  0.0000  0.0000  0.5000  4 Al 2.62
Zn  0.5000  0.5000  0.0000  4 Zn 2.52
Zn  0.0000  0.0000  0.0000  4 Zn 2.52
Zn  0.5000  0.0000  0.8733  1 Al 2.44, 4 Zn 2.52
Zn  0.0000  0.5000  0.1267  1 Al 2.44, 4 Zn 2.52
Zn  0.5000  0.5000  0.5000  4 Al 2.62

D(E_F) (states/eV per cell): 4.7
Energy (eV per atom): -3.05
Energy of formation from the pure elements (eV per formula unit): -3.51
Energy above the most stable polymorph in this dataset (eV per formula unit): 0.31
Crystal system: tetragonal

Record 6
First-principles (PBE-GGA) data for an optimized crystal structure of Hf2RhW, as listed in Alexandria via LeMat-Bulk.

Cell lengths 3.2906, 3.2906, 6.6213 Å; angles 90.00, 90.00, 90.00 degrees
With the nearest neighbours (Å) after each atom.
Atoms (fractional coordinates):
Rh  0.5000  0.5000  0.0000  8 Hf 2.85
Hf  0.0000  0.0000  0.7509  4 Rh 2.85, 4 W 2.86
Hf  0.0000  0.0000  0.2491  4 Rh 2.85, 4 W 2.86
W  0.5000  0.5000  0.5000  8 Hf 2.86

D(E_F) (states/eV per cell): 2.5
Energy (eV per atom): -10.52
Energy of formation from the pure elements (eV per formula unit): -1.87
Energy above the most stable polymorph in this dataset (eV per formula unit): 0.00
Crystal system: tetragonal

Number 6 is which compound?
Hf2RhW